Computed, not measured: an optimized crystal structure of AlGa2Tc at the GGA-PBE level of DFT.

Computed properties:
* V: 15.66 A^3/atom
* VASP energy: -5.31 eV/atom
* excess energy over the best structure of this formula in the dataset: 0 meV per atom
* space-group type: Ama2 (40)
* ΔH_f (0 K): -265.7 meV/atom

Cell lengths 4.872, 6.513, 7.893 Å; angles 90.00, 90.00, 90.00 degrees
Fractional positions:
Al (0.250, 0.166, 0.000)
Al (0.250, 0.666, 0.500)
Al (0.750, 0.334, 0.500)
Al (0.750, 0.834, 0.000)
Ga (0.000, 0.000, 0.316)
Ga (0.000, 0.500, 0.816)
Ga (0.250, 0.160, 0.633)
Ga (0.250, 0.660, 0.133)
Ga (0.500, 0.000, 0.316)
Ga (0.500, 0.500, 0.816)
Ga (0.750, 0.340, 0.133)
Ga (0.750, 0.840, 0.633)
Tc (0.250, 0.333, 0.318)
Tc (0.250, 0.833, 0.818)
Tc (0.750, 0.167, 0.818)
Tc (0.750, 0.667, 0.318)